# 1
## TcRhAu2 (PBE-GGA)

Data for a relaxed structure of TcRhAu2.

Lattice parameters (Å, degrees): 4.838 4.838 5.019 81.13 81.13 33.66
Fractional coordinates of all 4 atoms:
Au (0.004, 0.004, 0.002)
Au (0.247, 0.247, 0.246)
Rh (0.493, 0.493, 0.529)
Tc (0.756, 0.756, 0.723)

Properties
density = 15.37 Mg/m³
DFT formation energy = 85 kJ/mol of formula units
total magnetic moment = 0.00 μB per atom


# 2
## TcRh3Au (PBE-GGA)

Data for a relaxed structure of TcRh3Au.

Lattice parameters (Å, degrees): 4.640 4.640 4.640 90.00 90.00 90.00
Fractional coordinates of all 5 atoms:
Rh (0.000, 0.500, 0.000)
Rh (0.000, 0.000, 0.500)
Rh (0.500, 0.000, 0.000)
Au (0.500, 0.500, 0.500)
Tc (0.000, 0.000, 0.000)

Properties
density = 10.04 Mg/m³
DFT formation energy = 572 kJ/mol of formula units
total magnetic moment = 0.00 μB per atom


# 3
## TcRh2Au (PBE-GGA)

Data for a relaxed structure of TcRh2Au.

Lattice parameters (Å, degrees): 7.038 7.038 5.682 51.73 51.73 90.00
Fractional coordinates of all 8 atoms:
Rh (0.586, 0.125, 0.250)
Rh (0.164, 0.625, 0.250)
Rh (0.375, 0.414, 0.750)
Rh (0.875, 0.836, 0.750)
Au (0.000, 0.000, 0.000)
Au (0.750, 0.250, 0.500)
Tc (0.500, 0.500, 0.000)
Tc (0.250, 0.750, 0.500)

Properties
density = 12.25 Mg/m³
DFT formation energy = 196 kJ/mol of formula units
total magnetic moment = 0.00 μB per atom


# 4
## Tc2RhAu (PBE-GGA)

Data for a relaxed structure of Tc2RhAu.

Lattice parameters (Å, degrees): 4.875 4.875 2.748 89.99 89.99 112.20
Fractional coordinates of all 4 atoms:
Au (0.500, 0.000, 0.500)
Rh (0.000, 0.500, 0.500)
Tc (0.000, 0.000, 0.000)
Tc (0.500, 0.500, 0.000)

Properties
density = 13.62 Mg/m³
DFT formation energy = 90 kJ/mol of formula units
total magnetic moment = 0.00 μB per atom


# 5
## TcRh2Au (PBE-GGA)

Data for a relaxed structure of TcRh2Au.

Lattice parameters (Å, degrees): 3.826 2.780 6.328 63.87 90.00 90.00
Fractional coordinates of all 4 atoms:
Au (0.500, 0.750, 0.750)
Rh (0.000, 0.982, 0.018)
Rh (0.000, 0.518, 0.482)
Tc (0.500, 0.250, 0.250)

Properties
density = 13.76 Mg/m³
DFT formation energy = 16 kJ/mol of formula units
total magnetic moment = 0.00 μB per atom


# 6
## TcRhAu2 (PBE-GGA)

Data for a relaxed structure of TcRhAu2.

Lattice parameters (Å, degrees): 4.855 2.757 4.876 87.92 90.00 90.00
Fractional coordinates of all 4 atoms:
Au (0.000, 0.007, 0.000)
Au (0.000, 0.493, 0.500)
Rh (0.500, 0.250, 0.250)
Tc (0.500, 0.750, 0.750)

Properties
density = 15.14 Mg/m³
DFT formation energy = 155 kJ/mol of formula units
total magnetic moment = 0.11 μB per atom


# 7
## TcRhAu2 (PBE-GGA)

Data for a relaxed structure of TcRhAu2.

Lattice parameters (Å, degrees): 4.912 4.912 4.912 132.20 132.20 69.91
Fractional coordinates of all 4 atoms:
Au (0.000, 0.000, 0.000)
Au (0.250, 0.750, 0.500)
Rh (0.500, 0.500, 0.000)
Tc (0.750, 0.250, 0.500)

Properties
density = 15.49 Mg/m³
DFT formation energy = 112 kJ/mol of formula units
total magnetic moment = 0.00 μB per atom


# 8
## TcRhAu2 (PBE-GGA)

Data for a relaxed structure of TcRhAu2.

Lattice parameters (Å, degrees): 4.538 4.538 4.538 60.00 60.00 60.00
Fractional coordinates of all 4 atoms:
Au (0.000, 0.000, 0.000)
Au (0.250, 0.250, 0.250)
Rh (0.500, 0.500, 0.500)
Tc (0.750, 0.750, 0.750)

Properties
density = 14.94 Mg/m³
DFT formation energy = 167 kJ/mol of formula units
total magnetic moment = 0.53 μB per atom